1.
Entry from Alexandria: NbAgSeO2 after structural relaxation (PBE).

Calculated values
Electronic total energy, eV per atom: -6.3038

Lattice parameters (Å, degrees): 3.874 6.167 3.874 90.00 90.00 90.00
Atoms (fractional coordinates):
Se1 0.500 0.500 0.500
O1 0.500 0.000 0.000
O2 0.000 0.000 0.500
Nb1 0.000 0.000 0.000
Ag1 0.000 0.500 0.000

***

2.
Entry from Alexandria: SrNb2AgO7 after structural relaxation (PBE).

Calculated values
Electronic total energy, eV per atom: -7.5783

Lattice parameters (Å, degrees): 4.012 4.012 10.220 101.32 101.32 90.00
Atoms (fractional coordinates):
O1 0.099 0.599 0.198
O2 0.000 0.000 0.000
O3 0.401 0.901 0.802
O4 0.794 0.794 0.589
O5 0.906 0.406 0.812
O6 0.206 0.206 0.411
O7 0.594 0.094 0.188
Ag1 0.250 0.750 0.500
Nb1 0.108 0.108 0.215
Nb2 0.892 0.892 0.785
Sr1 0.500 0.500 0.000

***

3.
Entry from Alexandria: TaNbAg2O6 after structural relaxation (PBE).

Calculated values
Excess energy over the best structure of this formula in the dataset, kJ/mol of formula units: 0

Lattice parameters (Å, degrees): 5.622 5.691 15.818 90.00 90.00 90.00
Atoms (fractional coordinates):
O1 0.697 0.520 0.749
O2 0.042 0.282 0.139
O3 0.037 0.283 0.361
O4 0.539 0.208 0.111
O5 0.461 0.708 0.389
O6 0.963 0.217 0.861
O7 0.806 0.500 0.500
O8 0.461 0.290 0.889
O9 0.461 0.710 0.111
O10 0.697 0.480 0.251
O11 0.958 0.218 0.639
O12 0.963 0.783 0.139
O13 0.958 0.782 0.361
O14 0.192 0.000 0.500
O15 0.539 0.792 0.889
O16 0.808 0.500 0.000
O17 0.194 0.000 0.000
O18 0.303 0.980 0.249
O19 0.303 0.020 0.751
O20 0.539 0.210 0.389
O21 0.037 0.717 0.639
O22 0.461 0.292 0.611
O23 0.539 0.790 0.611
O24 0.042 0.718 0.861
Ta1 0.744 0.477 0.625
Ta2 0.256 0.977 0.875
Ta3 0.744 0.523 0.375
Ta4 0.256 0.023 0.125
Nb1 0.745 0.475 0.875
Nb2 0.255 0.975 0.625
Nb3 0.255 0.025 0.375
Nb4 0.745 0.525 0.125
Ag1 0.761 0.020 0.250
Ag2 0.243 0.500 0.000
Ag3 0.757 0.000 0.500
Ag4 0.761 0.980 0.750
Ag5 0.757 0.000 0.000
Ag6 0.239 0.520 0.250
Ag7 0.243 0.500 0.500
Ag8 0.239 0.480 0.750

***

Calculated values (Bohr magnetons per cell) of magnetization for the records, taken in order: 0.000 0.945 0.000.